(1)
Density functional theory data (PBE-GGA) for a geometry-optimized V4FeNi structure.

Summary:
E   -8.124 eV per atom
Relative energy among the computed polymorphs   397 meV/atom
DFT formation energy   190 kJ/mol of formula units
SG   C2/m, No. 12

abc: 3.773 3.773 6.767
angles: 75.40 75.40 62.97
Atoms (fractional coordinates):
V (0.710, 0.710, 0.835)
V (0.125, 0.125, 0.629)
V (0.290, 0.290, 0.165)
V (0.875, 0.875, 0.371)
Fe (0.500, 0.500, 0.500)
Ni (0.000, 0.000, 0.000)

=====

(2)
Density functional theory data (PBE-GGA) for a geometry-optimized V2FeNi8 structure.

Summary:
E   -6.669 eV per atom
Relative energy among the computed polymorphs   0 meV/atom
DFT formation energy   -39 kJ/mol of formula units
SG   Immm, No. 71

abc: 3.487 7.189 6.528
angles: 123.41 105.49 90.00
Atoms (fractional coordinates):
Ni (0.174, 0.174, 0.348)
Ni (0.000, 0.249, 0.000)
Ni (0.663, 0.416, 0.327)
Ni (0.826, 0.826, 0.652)
Ni (0.337, 0.584, 0.673)
Ni (0.000, 0.751, 0.000)
Ni (0.337, 0.089, 0.673)
Ni (0.663, 0.911, 0.327)
Fe (0.500, 0.000, 0.000)
V (0.843, 0.343, 0.686)
V (0.157, 0.657, 0.314)

=====

(3)
Density functional theory data (PBE-GGA) for a geometry-optimized VFe3Ni12 structure.

Summary:
E   -6.609 eV per atom
DFT formation energy   -179 kJ/mol of formula units
SG   P4/mmm, No. 123

abc: 3.546 3.546 14.210
angles: 90.00 90.00 90.00
Atoms (fractional coordinates):
Ni (0.500, 0.000, 0.375)
Ni (0.000, 0.500, 0.124)
Ni (0.500, 0.000, 0.876)
Ni (0.500, 0.500, 0.250)
Ni (0.000, 0.500, 0.375)
Ni (0.000, 0.500, 0.876)
Ni (0.500, 0.000, 0.124)
Ni (0.500, 0.000, 0.625)
Ni (0.500, 0.500, 0.750)
Ni (0.500, 0.500, 0.000)
Ni (0.500, 0.500, 0.500)
Ni (0.000, 0.500, 0.625)
Fe (0.000, 0.000, 0.500)
Fe (0.000, 0.000, 0.748)
Fe (0.000, 0.000, 0.252)
V (0.000, 0.000, 0.000)

=====

(4)
Density functional theory data (PBE-GGA) for a geometry-optimized V2Fe2Ni15 structure.

Summary:
E   -6.318 eV per atom
Relative energy among the computed polymorphs   0 meV/atom
DFT formation energy   177 kJ/mol of formula units
SG   R-3m, No. 166

abc: 6.159 6.159 6.159
angles: 81.14 81.14 81.14
Atoms (fractional coordinates):
Fe (0.903, 0.903, 0.903)
Fe (0.097, 0.097, 0.097)
Ni (0.000, 0.686, 0.314)
Ni (0.000, 0.000, 0.500)
Ni (0.654, 0.159, 0.654)
Ni (0.654, 0.654, 0.159)
Ni (0.500, 0.000, 0.000)
Ni (0.686, 0.314, 0.000)
Ni (0.000, 0.314, 0.686)
Ni (0.346, 0.841, 0.346)
Ni (0.841, 0.346, 0.346)
Ni (0.686, 0.000, 0.314)
Ni (0.314, 0.000, 0.686)
Ni (0.314, 0.686, 0.000)
Ni (0.346, 0.346, 0.841)
Ni (0.159, 0.654, 0.654)
Ni (0.000, 0.500, 0.000)
V (0.304, 0.304, 0.304)
V (0.696, 0.696, 0.696)

=====

(5)
Density functional theory data (PBE-GGA) for a geometry-optimized VFe3Ni7 structure.

Summary:
E   -6.551 eV per atom
DFT formation energy   281 kJ/mol of formula units
SG   C2/m, No. 12

abc: 4.293 6.043 6.043
angles: 89.66 111.01 111.01
Atoms (fractional coordinates):
Fe (0.500, 0.000, 0.000)
Fe (0.000, 0.231, 0.769)
Fe (0.000, 0.769, 0.231)
Ni (0.000, 0.500, 0.500)
Ni (0.672, 0.404, 0.940)
Ni (0.185, 0.180, 0.180)
Ni (0.328, 0.060, 0.596)
Ni (0.328, 0.596, 0.060)
Ni (0.815, 0.820, 0.820)
Ni (0.672, 0.940, 0.404)
V (0.500, 0.500, 0.500)

=====

(6)
Density functional theory data (PBE-GGA) for a geometry-optimized VFe3Ni structure.

Summary:
E   -6.851 eV per atom
Relative energy among the computed polymorphs   1262 meV/atom
DFT formation energy   582 kJ/mol of formula units
SG   Pm-3m, No. 221

abc: 4.189 4.189 4.189
angles: 90.00 90.00 90.00
Atoms (fractional coordinates):
Fe (0.000, 0.500, 0.000)
Fe (0.500, 0.000, 0.000)
Fe (0.000, 0.000, 0.500)
V (0.000, 0.000, 0.000)
Ni (0.500, 0.500, 0.500)

=====

(7)
Density functional theory data (PBE-GGA) for a geometry-optimized V3FeNi structure.

Summary:
E   -7.250 eV per atom
Relative energy among the computed polymorphs   238 meV/atom
DFT formation energy   516 kJ/mol of formula units
SG   Pm-3m, No. 221

abc: 4.310 4.310 4.310
angles: 90.00 90.00 90.00
Atoms (fractional coordinates):
V (0.000, 0.000, 0.500)
V (0.000, 0.500, 0.000)
V (0.500, 0.000, 0.000)
Fe (0.500, 0.500, 0.500)
Ni (0.000, 0.000, 0.000)

=====

(8)
Density functional theory data (PBE-GGA) for a geometry-optimized VFe6Ni12 structure.

Summary:
E   -6.737 eV per atom
DFT formation energy   122 kJ/mol of formula units
SG   R-3, No. 148

abc: 6.048 6.048 6.048
angles: 89.83 89.83 89.83
Atoms (fractional coordinates):
Fe (0.117, 0.731, 0.273)
Fe (0.883, 0.269, 0.727)
Fe (0.731, 0.273, 0.117)
Fe (0.269, 0.727, 0.883)
Fe (0.727, 0.883, 0.269)
Fe (0.273, 0.117, 0.731)
Ni (0.626, 0.962, 0.845)
Ni (0.038, 0.155, 0.374)
Ni (0.524, 0.436, 0.800)
Ni (0.155, 0.374, 0.038)
Ni (0.800, 0.524, 0.436)
Ni (0.962, 0.845, 0.626)
Ni (0.564, 0.200, 0.476)
Ni (0.845, 0.626, 0.962)
Ni (0.374, 0.038, 0.155)
Ni (0.476, 0.564, 0.200)
Ni (0.436, 0.800, 0.524)
Ni (0.200, 0.476, 0.564)
V (0.000, 0.000, 0.000)

=====

(9)
Density functional theory data (PBE-GGA) for a geometry-optimized V2Fe2Ni structure.

Summary:
E   -8.006 eV per atom
Relative energy among the computed polymorphs   168 meV/atom
DFT formation energy   88 kJ/mol of formula units
SG   Cmmm, No. 65

abc: 2.763 3.912 6.030
angles: 90.00 103.25 90.00
Atoms (fractional coordinates):
Ni (0.000, 0.000, 0.000)
V (0.147, 0.500, 0.293)
V (0.853, 0.500, 0.707)
Fe (0.670, 0.000, 0.340)
Fe (0.330, 0.000, 0.660)

=====

(10)
Density functional theory data (PBE-GGA) for a geometry-optimized V2Fe5Ni12 structure.

Summary:
E   -6.774 eV per atom
DFT formation energy   118 kJ/mol of formula units
SG   C2/m, No. 12

abc: 4.961 8.088 6.152
angles: 72.79 90.00 107.86
Atoms (fractional coordinates):
Ni (0.549, 0.097, 0.306)
Ni (0.050, 0.608, 0.792)
Ni (0.443, 0.392, 0.208)
Ni (0.152, 0.790, 0.381)
Ni (0.950, 0.392, 0.208)
Ni (0.557, 0.608, 0.792)
Ni (0.362, 0.210, 0.619)
Ni (0.638, 0.790, 0.381)
Ni (0.848, 0.210, 0.619)
Ni (0.849, 0.698, 0.086)
Ni (0.451, 0.903, 0.694)
Ni (0.151, 0.302, 0.914)
Fe (0.658, 0.316, 0.913)
Fe (0.753, 0.505, 0.490)
Fe (0.247, 0.495, 0.510)
Fe (0.342, 0.684, 0.087)
Fe (0.000, 0.000, 0.500)
V (0.256, 0.000, 0.000)
V (0.744, 0.000, 0.000)

=====

(11)
Density functional theory data (PBE-GGA) for a geometry-optimized V4FeNi12 structure.

Summary:
E   -6.658 eV per atom
DFT formation energy   108 kJ/mol of formula units
SG   Im-3m, No. 229

abc: 6.398 6.398 6.398
angles: 109.47 109.47 109.47
Atoms (fractional coordinates):
Ni (0.750, 0.500, 0.250)
Ni (0.500, 0.250, 0.750)
Ni (0.000, 0.701, 0.701)
Ni (0.250, 0.500, 0.750)
Ni (0.250, 0.750, 0.500)
Ni (0.299, 0.299, 0.000)
Ni (0.701, 0.000, 0.701)
Ni (0.500, 0.750, 0.250)
Ni (0.299, 0.000, 0.299)
Ni (0.000, 0.299, 0.299)
Ni (0.750, 0.250, 0.500)
Ni (0.701, 0.701, 0.000)
V (0.000, 0.000, 0.500)
V (0.500, 0.500, 0.500)
V (0.000, 0.500, 0.000)
V (0.500, 0.000, 0.000)
Fe (0.000, 0.000, 0.000)

=====

(12)
Density functional theory data (PBE-GGA) for a geometry-optimized VFeNi4 structure.

Summary:
E   -6.804 eV per atom
Relative energy among the computed polymorphs   32 meV/atom
DFT formation energy   -11 kJ/mol of formula units
SG   F-43m, No. 216

abc: 4.633 4.633 4.633
angles: 60.00 60.00 60.00
Atoms (fractional coordinates):
Fe (0.250, 0.250, 0.250)
Ni (0.625, 0.625, 0.625)
Ni (0.125, 0.625, 0.625)
Ni (0.625, 0.625, 0.125)
Ni (0.625, 0.125, 0.625)
V (0.000, 0.000, 0.000)